Record 1
# Ba3Cd2Pt4 PBE optimized geometry
# V (Å³ per atom): 27.397
# ρ (Mg/m³): 9.5
# DFT formation energy (eV per atom): -0.62
# Size of the total moment (μB/f.u.): 0.000
data_Ba3Cd2Pt4
_chemical_formula_sum 'Ba6 Cd4 Pt8'
_symmetry_space_group_name_H-M 'C 1 2/m 1'
_symmetry_Int_Tables_number 12
_cell_length_a 11.424
_cell_length_b 4.742
_cell_length_c 9.271
_cell_angle_alpha 90.00
_cell_angle_beta 100.87
_cell_angle_gamma 90.00
loop_
_symmetry_equiv_pos_as_xyz
'x,y,z'
'-x,-y,-z'
'-x,y,-z'
'x,-y,z'
'x+1/2,y+1/2,z'
'-x+1/2,-y+1/2,-z'
'-x+1/2,y+1/2,-z'
'x+1/2,-y+1/2,z'
loop_
_atom_site_label
_atom_site_type_symbol
_atom_site_fract_x
_atom_site_fract_y
_atom_site_fract_z
Ba1 Ba 0.000 0.000 0.000
Ba2 Ba 0.124 0.500 0.381
Cd1 Cd 0.180 0.500 0.779
Pt1 Pt 0.084 0.000 0.629
Pt2 Pt 0.242 0.500 0.088



Record 2
# BaCd2Pt2 PBE optimized geometry
# V (Å³ per atom): 21.939
# ρ (Mg/m³): 11.4
# DFT formation energy (eV per atom): -0.36
# Size of the total moment (μB/f.u.): 0.000
# Excess energy over the best structure of this formula in the dataset (eV/f.u.): 0.99
data_BaCd2Pt2
_chemical_formula_sum 'Ba2 Cd4 Pt4'
_symmetry_space_group_name_H-M 'P 4/m b m'
_symmetry_Int_Tables_number 127
_symmetry_space_group_name_Hall '-P 4 2ab'
_cell_length_a 8.394
_cell_length_b 8.394
_cell_length_c 3.113
_cell_angle_alpha 90.00
_cell_angle_beta 90.00
_cell_angle_gamma 90.00
loop_
_atom_site_label
_atom_site_type_symbol
_atom_site_fract_x
_atom_site_fract_y
_atom_site_fract_z
Ba1 Ba 0.000 0.000 0.000
Cd1 Cd 0.120 0.380 0.000
Pt1 Pt 0.176 0.676 0.500



Record 3
# Ba8Cd2Pt PBE optimized geometry
# V (Å³ per atom): 45.216
# ρ (Mg/m³): 5.1
# DFT formation energy (eV per atom): -0.23
# Size of the total moment (μB/f.u.): 0.000
# Excess energy over the best structure of this formula in the dataset (eV/f.u.): 0.46
data_Ba8Cd2Pt
_chemical_formula_sum 'Ba16 Cd4 Pt2'
_symmetry_space_group_name_H-M 'C 1 2/m 1'
_symmetry_Int_Tables_number 12
_cell_length_a 21.365
_cell_length_b 6.004
_cell_length_c 8.060
_cell_angle_alpha 90.00
_cell_angle_beta 105.83
_cell_angle_gamma 90.00
loop_
_symmetry_equiv_pos_as_xyz
'x,y,z'
'-x,-y,-z'
'-x,y,-z'
'x,-y,z'
'x+1/2,y+1/2,z'
'-x+1/2,-y+1/2,-z'
'-x+1/2,y+1/2,-z'
'x+1/2,-y+1/2,z'
loop_
_atom_site_label
_atom_site_type_symbol
_atom_site_fract_x
_atom_site_fract_y
_atom_site_fract_z
Ba1 Ba 0.028 0.000 0.304
Ba2 Ba 0.088 0.500 0.910
Ba3 Ba 0.150 0.500 0.464
Ba4 Ba 0.214 0.000 0.809
Cd1 Cd 0.185 0.000 0.226
Pt1 Pt 0.000 0.500 0.500



Record 4
# Ba2Cd3Pt PBE optimized geometry
# V (Å³ per atom): 30.762
# ρ (Mg/m³): 7.3
# DFT formation energy (eV per atom): -0.44
# Size of the total moment (μB/f.u.): 0.000
data_Ba2Cd3Pt
_chemical_formula_sum 'Ba4 Cd6 Pt2'
_symmetry_space_group_name_H-M 'C 1 m 1'
_symmetry_Int_Tables_number 8
_cell_length_a 11.973
_cell_length_b 4.707
_cell_length_c 8.098
_cell_angle_alpha 90.00
_cell_angle_beta 126.02
_cell_angle_gamma 90.00
loop_
_symmetry_equiv_pos_as_xyz
'x,y,z'
'x,-y,z'
'x+1/2,y+1/2,z'
'x+1/2,-y+1/2,z'
loop_
_atom_site_label
_atom_site_type_symbol
_atom_site_fract_x
_atom_site_fract_y
_atom_site_fract_z
Ba1 Ba 0.000 0.000 0.000
Ba2 Ba 0.131 0.000 0.613
Cd1 Cd 0.251 0.500 0.366
Cd2 Cd 0.355 0.000 0.180
Cd3 Cd 0.421 0.000 0.608
Pt1 Pt 0.195 0.500 0.963



Record 5
# Ba3Cd9Pt2 PBE optimized geometry
# V (Å³ per atom): 27.154
# ρ (Mg/m³): 7.9
# DFT formation energy (eV per atom): -0.34
# Size of the total moment (μB/f.u.): 0.000
data_Ba3Cd9Pt2
_chemical_formula_sum 'Ba6 Cd18 Pt4'
_symmetry_space_group_name_H-M 'I m m m'
_symmetry_Int_Tables_number 71
_symmetry_space_group_name_Hall '-I 2 2'
_cell_length_a 4.875
_cell_length_b 10.905
_cell_length_c 14.302
_cell_angle_alpha 90.00
_cell_angle_beta 90.00
_cell_angle_gamma 90.00
loop_
_atom_site_label
_atom_site_type_symbol
_atom_site_fract_x
_atom_site_fract_y
_atom_site_fract_z
Ba1 Ba 0.000 0.000 0.000
Ba2 Ba 0.000 0.000 0.318
Cd1 Cd 0.000 0.282 0.116
Cd2 Cd 0.000 0.357 0.330
Cd3 Cd 0.000 0.500 0.000
Pt1 Pt 0.000 0.222 0.500



Record 6
# BaCd4Pt2 PBE optimized geometry
# V (Å³ per atom): 23.983
# ρ (Mg/m³): 9.7
# DFT formation energy (eV per atom): -0.39
# Size of the total moment (μB/f.u.): 0.000
# Excess energy over the best structure of this formula in the dataset (eV/f.u.): 0.57
data_BaCd4Pt2
_chemical_formula_sum 'Ba2 Cd8 Pt4'
_symmetry_space_group_name_H-M 'C m m m'
_symmetry_Int_Tables_number 65
_symmetry_space_group_name_Hall '-C 2 2'
_cell_length_a 4.487
_cell_length_b 16.548
_cell_length_c 4.522
_cell_angle_alpha 90.00
_cell_angle_beta 90.00
_cell_angle_gamma 90.00
loop_
_atom_site_label
_atom_site_type_symbol
_atom_site_fract_x
_atom_site_fract_y
_atom_site_fract_z
Ba1 Ba 0.000 0.000 0.000
Cd1 Cd 0.000 0.182 0.500
Cd2 Cd 0.000 0.317 0.000
Pt1 Pt 0.000 0.421 0.500



Record 7
# BaCd12Pt6 PBE optimized geometry
# V (Å³ per atom): 22.535
# ρ (Mg/m³): 10.3
# DFT formation energy (eV per atom): -0.26
# Size of the total moment (μB/f.u.): 0.000
data_BaCd12Pt6
_chemical_formula_sum 'Ba3 Cd36 Pt18'
_symmetry_space_group_name_H-M 'R -3 m'
_symmetry_Int_Tables_number 166
_symmetry_space_group_name_Hall '-R 3 2"'
_cell_length_a 12.4911
_cell_length_b 12.4911
_cell_length_c 9.5061
_cell_angle_alpha 90.00
_cell_angle_beta 90.00
_cell_angle_gamma 120.00
loop_
_atom_site_label
_atom_site_type_symbol
_atom_site_fract_x
_atom_site_fract_y
_atom_site_fract_z
Ba1 Ba 0.0000 0.0000 0.0000
Cd1 Cd 0.0000 0.3830 0.5000
Cd2 Cd 0.0879 0.1759 0.3257
Pt1 Pt 0.0473 0.5236 0.2570



Record 8
# Ba6Cd2Pt PBE optimized geometry
# V (Å³ per atom): 48.387
# ρ (Mg/m³): 4.7
# DFT formation energy (eV per atom): -0.35
# Size of the total moment (μB/f.u.): 0.394
data_Ba6Cd2Pt
_chemical_formula_sum 'Ba12 Cd4 Pt2'
_symmetry_space_group_name_H-M 'P 1 21/c 1'
_symmetry_Int_Tables_number 14
_cell_length_a 8.050
_cell_length_b 9.182
_cell_length_c 14.259
_cell_angle_alpha 90.00
_cell_angle_beta 124.27
_cell_angle_gamma 90.00
loop_
_symmetry_equiv_pos_as_xyz
'x,y,z'
'-x,-y,-z'
'-x,y+1/2,-z+1/2'
'x,-y+1/2,z+1/2'
loop_
_atom_site_label
_atom_site_type_symbol
_atom_site_fract_x
_atom_site_fract_y
_atom_site_fract_z
Ba1 Ba 0.116 0.170 0.442
Ba2 Ba 0.280 0.694 0.440
Ba3 Ba 0.374 0.026 0.250
Cd1 Cd 0.204 0.114 0.754
Pt1 Pt 0.500 0.000 0.500



Record 9
# Ba12CdPt5 PBE optimized geometry
# V (Å³ per atom): 48.176
# ρ (Mg/m³): 5.2
# DFT formation energy (eV per atom): -0.54
# Size of the total moment (μB/f.u.): 0.000
data_Ba12CdPt5
_chemical_formula_sum 'Ba24 Cd2 Pt10'
_symmetry_space_group_name_H-M 'C 1 2/m 1'
_symmetry_Int_Tables_number 12
_cell_length_a 8.033
_cell_length_b 14.270
_cell_length_c 15.130
_cell_angle_alpha 90.00
_cell_angle_beta 90.31
_cell_angle_gamma 90.00
loop_
_symmetry_equiv_pos_as_xyz
'x,y,z'
'-x,-y,-z'
'-x,y,-z'
'x,-y,z'
'x+1/2,y+1/2,z'
'-x+1/2,-y+1/2,-z'
'-x+1/2,y+1/2,-z'
'x+1/2,-y+1/2,z'
loop_
_atom_site_label
_atom_site_type_symbol
_atom_site_fract_x
_atom_site_fract_y
_atom_site_fract_z
Ba1 Ba 0.134 0.000 0.119
Ba2 Ba 0.163 0.167 0.391
Ba3 Ba 0.164 0.500 0.388
Ba4 Ba 0.179 0.318 0.117
Cd1 Cd 0.000 0.500 0.000
Pt1 Pt 0.000 0.000 0.500
Pt2 Pt 0.000 0.165 0.000
Pt3 Pt 0.000 0.335 0.500



Record 10
# Ba2Cd3Pt2 PBE optimized geometry
# V (Å³ per atom): 27.220
# ρ (Mg/m³): 8.7
# DFT formation energy (eV per atom): -0.54
# Size of the total moment (μB/f.u.): 0.000
data_Ba2Cd3Pt2
_chemical_formula_sum 'Ba4 Cd6 Pt4'
_symmetry_space_group_name_H-M 'C 1 2/m 1'
_symmetry_Int_Tables_number 12
_cell_length_a 11.472
_cell_length_b 4.512
_cell_length_c 8.122
_cell_angle_alpha 90.00
_cell_angle_beta 114.98
_cell_angle_gamma 90.00
loop_
_symmetry_equiv_pos_as_xyz
'x,y,z'
'-x,-y,-z'
'-x,y,-z'
'x,-y,z'
'x+1/2,y+1/2,z'
'-x+1/2,-y+1/2,-z'
'-x+1/2,y+1/2,-z'
'x+1/2,-y+1/2,z'
loop_
_atom_site_label
_atom_site_type_symbol
_atom_site_fract_x
_atom_site_fract_y
_atom_site_fract_z
Ba1 Ba 0.138 0.000 0.274
Cd1 Cd 0.000 0.500 0.500
Cd2 Cd 0.146 0.500 0.934
Pt1 Pt 0.140 0.000 0.705



Record 11
# BaCd4Pt PBE optimized geometry
# V (Å³ per atom): 24.188
# ρ (Mg/m³): 8.9
# DFT formation energy (eV per atom): -0.13
# Size of the total moment (μB/f.u.): 0.000
# Excess energy over the best structure of this formula in the dataset (eV/f.u.): 1.37
data_BaCd4Pt
_chemical_formula_sum 'Ba4 Cd16 Pt4'
_symmetry_space_group_name_H-M 'F -4 3 m'
_symmetry_Int_Tables_number 216
_symmetry_space_group_name_Hall 'F -4 2 3'
_cell_length_a 8.342
_cell_length_b 8.342
_cell_length_c 8.342
_cell_angle_alpha 90.00
_cell_angle_beta 90.00
_cell_angle_gamma 90.00
loop_
_atom_site_label
_atom_site_type_symbol
_atom_site_fract_x
_atom_site_fract_y
_atom_site_fract_z
Ba1 Ba 0.000 0.000 0.000
Cd1 Cd 0.123 0.123 0.623
Pt1 Pt 0.250 0.250 0.250



Record 12
# Ba2Cd12Pt7 PBE optimized geometry
# V (Å³ per atom): 22.353
# ρ (Mg/m³): 10.6
# DFT formation energy (eV per atom): -0.39
# Size of the total moment (μB/f.u.): 0.000
data_Ba2Cd12Pt7
_chemical_formula_sum 'Ba2 Cd12 Pt7'
_symmetry_space_group_name_H-M 'P -6'
_symmetry_Int_Tables_number 174
_cell_length_a 11.0930
_cell_length_b 11.0930
_cell_length_c 4.4048
_cell_angle_alpha 90.00
_cell_angle_beta 90.00
_cell_angle_gamma 120.00
loop_
_symmetry_equiv_pos_as_xyz
'x,y,z'
'-x+y,-x,-z'
'-y,x-y,z'
'x,y,-z'
'-x+y,-x,z'
'-y,x-y,-z'
loop_
_atom_site_label
_atom_site_type_symbol
_atom_site_fract_x
_atom_site_fract_y
_atom_site_fract_z
Ba1 Ba 0.0000 0.0000 0.0000
Ba2 Ba 0.3333 0.6667 0.5000
Cd1 Cd 0.0384 0.7498 0.5000
Cd2 Cd 0.1235 0.3884 0.0000
Cd3 Cd 0.3845 0.1941 0.0000
Cd4 Cd 0.5487 0.1241 0.5000
Pt1 Pt 0.0516 0.5949 0.0000
Pt2 Pt 0.2509 0.0296 0.5000
Pt3 Pt 0.6667 0.3333 0.0000